[1]
Density functional theory data (PBE) for a geometry-optimized TaAlAs structure.

The structure in POSCAR format:
```
TaAlAs
1.0
4.843 0.000 0.000
0.000 3.516 0.000
-1.195 0.000 6.480
Ta Al As
2 2 2
direct
0.254 0.750 0.974 Ta
0.746 0.250 0.026 Ta
0.743 0.750 0.699 Al
0.257 0.250 0.301 Al
0.307 0.250 0.689 As
0.693 0.750 0.311 As
```

Its space group is P2_1/m (11). The formation energy from the elements comes out at -226.5 meV/atom. Its crystal system is monoclinic. The calculation puts the total magnetization at 0.0 μB per formula unit.

[2]
Density functional theory data (PBE) for a geometry-optimized TaAlAs structure.

The structure in POSCAR format:
```
TaAlAs
1.0
6.150 0.000 0.000
0.000 6.028 0.000
0.000 0.000 5.546
Al As Ta
4 4 4
direct
0.000 0.250 0.139 Al
0.500 0.250 0.861 Al
0.000 0.750 0.361 Al
0.500 0.750 0.639 Al
0.750 0.146 0.500 As
0.750 0.854 0.000 As
0.250 0.646 0.000 As
0.250 0.354 0.500 As
0.888 0.500 0.750 Ta
0.612 0.500 0.250 Ta
0.388 0.000 0.250 Ta
0.112 0.000 0.750 Ta
```

Its space group is I2_12_12_1 (24). The formation energy from the elements comes out at -265.5 meV/atom. Its crystal system is orthorhombic. The calculation puts the total magnetization at 0.0 μB per formula unit.

[3]
Density functional theory data (PBE) for a geometry-optimized TaAlAs structure.

The structure in POSCAR format:
```
TaAlAs
1.0
-4.328 -6.722 -4.254
-1.164 -2.028 4.389
-7.388 4.640 0.185
Al Ta As
8 8 8
direct
0.750 0.750 0.090 Al
0.750 0.250 0.590 Al
0.250 0.750 0.910 Al
0.250 0.750 0.590 Al
0.250 0.250 0.090 Al
0.750 0.750 0.410 Al
0.750 0.250 0.910 Al
0.250 0.250 0.410 Al
0.250 0.250 0.750 Ta
0.250 0.750 0.250 Ta
0.750 0.250 0.250 Ta
0.000 0.500 0.000 Ta
0.000 0.000 0.500 Ta
0.750 0.750 0.750 Ta
0.500 0.500 0.500 Ta
0.500 0.000 0.000 Ta
0.500 0.000 0.658 As
0.500 0.500 0.158 As
0.000 0.500 0.658 As
0.000 0.500 0.342 As
0.500 0.500 0.842 As
0.500 0.000 0.342 As
0.000 0.000 0.842 As
0.000 0.000 0.158 As
```

Its space group is F222 (22). The formation energy from the elements comes out at -318.4 meV/atom. Its crystal system is orthorhombic. The calculation puts the total magnetization at 0.0 μB per formula unit.

[4]
Density functional theory data (PBE) for a geometry-optimized TaAlTe2As structure.

The structure in POSCAR format:
```
TaAlTe2As
1.0
-0.743 1.826 -4.969
-4.938 -1.789 0.081
-1.664 4.682 1.969
Al Te As Ta
1 2 1 1
direct
0.000 0.500 0.000 Al
0.000 0.000 0.500 Te
0.500 0.000 0.000 Te
0.500 0.500 0.500 As
0.000 0.000 0.000 Ta
```

Its space group is P4/mmm (123). The uncorrected formation energy is 693.1 meV/atom. Its crystal system is tetragonal. The calculation puts the total magnetization at 2.4 μB per formula unit.

[5]
Density functional theory data (PBE) for a geometry-optimized Tb2AlAs structure.

The structure in POSCAR format:
```
Tb2AlAs
1.0
-1.439 -2.288 2.733
2.321 -1.496 2.673
-1.235 6.417 7.425
Al Tb As
1 2 1
direct
0.000 0.000 0.000 Al
0.893 0.893 0.321 Tb
0.107 0.107 0.679 Tb
0.500 0.500 0.500 As
```

Its space group is R-3m (166). The formation energy from the elements comes out at -302.8 meV/atom. Its crystal system is trigonal. The calculation puts the total magnetization at 0.0 μB per formula unit.

[6]
Density functional theory data (PBE) for a geometry-optimized AlTc2As structure.

The structure in POSCAR format:
```
AlTc2As
1.0
-0.673 -2.165 -2.957
-0.763 -2.223 1.801
-5.693 0.290 1.083
Tc Al As
2 1 1
direct
0.000 0.872 0.985 Tc
0.000 0.628 0.515 Tc
0.500 0.250 0.250 Al
0.500 0.750 0.750 As
```

Its space group is P2/m (10). The formation energy from the elements comes out at -62.9 meV/atom. The energy above the most stable polymorph in this dataset comes out at 0.1473 eV/atom. Its crystal system is monoclinic. The calculation puts the total magnetization at 0.0 μB per formula unit.

[7]
Density functional theory data (PBE) for a geometry-optimized AlTc2As structure.

The structure in POSCAR format:
```
AlTc2As
1.0
-0.276 -3.101 0.117
2.444 -0.373 -4.106
3.439 -0.227 2.067
Tc Al As
2 1 1
direct
0.000 0.000 0.000 Tc
0.500 0.500 0.000 Tc
0.500 0.000 0.500 Al
0.000 0.500 0.500 As
```

Its space group is Pmmm (47). The formation energy from the elements comes out at 65.0 meV/atom. The energy above the most stable polymorph in this dataset comes out at 0.2751 eV/atom. Its crystal system is orthorhombic. The calculation puts the total magnetization at 0.0 μB per formula unit.

[8]
Density functional theory data (PBE) for a geometry-optimized AlTc2As structure.

The structure in POSCAR format:
```
AlTc2As
1.0
3.185 0.000 0.000
0.000 3.185 0.000
0.000 0.000 5.745
Tc As Al
2 1 1
direct
0.500 0.500 0.281 Tc
0.000 0.000 0.973 Tc
0.500 0.500 0.758 As
0.000 0.000 0.487 Al
```

Its space group is P4mm (99). The formation energy from the elements comes out at -210.1 meV/atom. The energy above the most stable polymorph in this dataset comes out at 0.0000 eV/atom. Its crystal system is tetragonal. The calculation puts the total magnetization at 0.0 μB per formula unit.

| no. | D(E_F) (states/eV/atom) |
| --- | --- |
| 1 | 0.24 |
| 2 | 0.47 |
| 3 | 0.27 |
| 4 | 0.66 |
| 5 | 1.20 |
| 6 | 0.56 |
| 7 | 0.84 |
| 8 | 0.57 |